[1]
A plane-wave DFT calculation with GGA-PBEsol was carried out for a relaxed structure of La2Te4O11.

Summary:
- Total magnetic moment: 0.0 μB/cell
- E_form (uncorrected): -1859 meV/atom
- D(E_F): 0.0 states/eV/f.u.

Cell and atoms, written as CIF:
```
data_La2Te4O11
_cell_length_a 12.682
_cell_length_b 5.264
_cell_length_c 16.356
_cell_angle_alpha 90.00
_cell_angle_beta 105.83
_cell_angle_gamma 90.00
_space_group_name_H-M_alt 'C 1 2/c 1'
_space_group_IT_number 15
loop_
_space_group_symop_operation_xyz
'x,y,z'
'-x,-y,-z'
'-x,y,-z+1/2'
'x,-y,z+1/2'
'x+1/2,y+1/2,z'
'-x+1/2,-y+1/2,-z'
'-x+1/2,y+1/2,-z+1/2'
'x+1/2,-y+1/2,z+1/2'
loop_
_atom_site_label
_atom_site_type_symbol
_atom_site_fract_x
_atom_site_fract_y
_atom_site_fract_z
La1 La 0.119 0.244 0.038
Te1 Te 0.122 0.228 0.705
Te2 Te 0.128 0.217 0.369
O1 O 0.000 0.364 0.750
O2 O 0.025 0.091 0.604
O3 O 0.073 0.379 0.452
O4 O 0.150 0.444 0.174
O5 O 0.207 0.040 0.941
O6 O 0.249 0.073 0.632
```

=====

[2]
A plane-wave DFT calculation with GGA-PBEsol was carried out for a relaxed structure of La2TeO.

Summary:
- Total magnetic moment: 0.0 μB/cell
- E_form (uncorrected): -1400 meV/atom
- D(E_F): 3.4 states/eV/f.u.

Cell and atoms, written as CIF:
```
data_La2TeO
_cell_length_a 7.204
_cell_length_b 7.204
_cell_length_c 7.204
_cell_angle_alpha 90.00
_cell_angle_beta 90.00
_cell_angle_gamma 90.00
_space_group_name_H-M_alt 'F m -3 m'
_space_group_IT_number 225
_space_group_name_Hall '-F 4 2 3'
loop_
_atom_site_label
_atom_site_type_symbol
_atom_site_fract_x
_atom_site_fract_y
_atom_site_fract_z
La1 La 0.250 0.250 0.250
Te1 Te 0.000 0.000 0.000
O1 O 0.000 0.000 0.500
```

=====

[3]
A plane-wave DFT calculation with GGA-PBEsol was carried out for a relaxed structure of La2TeO6.

Summary:
- Total magnetic moment: 0.0 μB/cell
- E_form (uncorrected): -2562 meV/atom
- D(E_F): 0.0 states/eV/f.u.

Cell and atoms, written as CIF:
```
data_La2TeO6
_cell_length_a 5.500
_cell_length_b 9.429
_cell_length_c 10.339
_cell_angle_alpha 90.00
_cell_angle_beta 90.00
_cell_angle_gamma 90.00
_space_group_name_H-M_alt 'P 21 21 21'
_space_group_IT_number 19
loop_
_space_group_symop_operation_xyz
'x,y,z'
'-x+1/2,-y,z+1/2'
'x+1/2,-y+1/2,-z'
'-x,y+1/2,-z+1/2'
loop_
_atom_site_label
_atom_site_type_symbol
_atom_site_fract_x
_atom_site_fract_y
_atom_site_fract_z
La1 La 0.026 0.104 0.457
La2 La 0.030 0.218 0.860
Te1 Te 0.041 0.496 0.359
O1 O 0.067 0.852 0.020
O2 O 0.169 0.946 0.282
O3 O 0.176 0.636 0.245
O4 O 0.198 0.638 0.825
O5 O 0.220 0.111 0.063
O6 O 0.248 0.586 0.491
```

=====

[4]
A plane-wave DFT calculation with GGA-PBEsol was carried out for a relaxed structure of La4Ti5Te3O24.

Summary:
- Total magnetic moment: 0.0 μB/cell
- E_form (uncorrected): -2639 meV/atom
- D(E_F): 0.0 states/eV/f.u.

Cell and atoms, written as CIF:
```
data_La4Ti5Te3O24
_cell_length_a 7.120
_cell_length_b 7.300
_cell_length_c 10.251
_cell_angle_alpha 107.54
_cell_angle_beta 109.79
_cell_angle_gamma 91.42
_space_group_name_H-M_alt 'P 1'
_space_group_IT_number 1
loop_
_space_group_symop_operation_xyz
'x,y,z'
loop_
_atom_site_label
_atom_site_type_symbol
_atom_site_fract_x
_atom_site_fract_y
_atom_site_fract_z
La1 La 0.000 0.000 0.000
La2 La 0.008 0.492 0.501
La3 La 0.396 0.049 0.455
La4 La 0.412 0.543 0.948
Ti1 Ti 0.019 0.592 0.119
Ti2 Ti 0.038 0.052 0.636
Ti3 Ti 0.393 0.970 0.834
Ti4 Ti 0.543 0.139 0.148
Ti5 Ti 0.547 0.650 0.666
Te1 Te 0.386 0.474 0.324
Te2 Te 0.846 0.918 0.298
Te3 Te 0.867 0.404 0.786
O1 O 0.025 0.647 0.940
O2 O 0.030 0.140 0.458
O3 O 0.102 0.504 0.290
O4 O 0.106 0.861 0.227
O5 O 0.108 0.983 0.804
O6 O 0.109 0.355 0.743
O7 O 0.295 0.206 0.194
O8 O 0.313 0.676 0.711
O9 O 0.321 0.052 0.668
O10 O 0.338 0.573 0.165
O11 O 0.383 0.392 0.487
O12 O 0.407 0.896 0.009
O13 O 0.484 0.723 0.484
O14 O 0.491 0.218 0.982
O15 O 0.596 0.025 0.314
O16 O 0.604 0.467 0.785
O17 O 0.644 0.408 0.319
O18 O 0.651 0.886 0.815
O19 O 0.763 0.612 0.096
O20 O 0.768 0.150 0.642
O21 O 0.802 0.551 0.649
O22 O 0.810 0.087 0.168
O23 O 0.934 0.815 0.498
O24 O 0.942 0.318 0.955
```

=====

[5]
A plane-wave DFT calculation with GGA-PBEsol was carried out for a relaxed structure of LaTiTeO6.

Summary:
- Total magnetic moment: 0.0 μB/cell
- E_form (uncorrected): -2394 meV/atom
- D(E_F): 5.2 states/eV/f.u.

Cell and atoms, written as CIF:
```
data_LaTiTeO6
_cell_length_a 5.2899
_cell_length_b 5.2899
_cell_length_c 5.1084
_cell_angle_alpha 90.00
_cell_angle_beta 90.00
_cell_angle_gamma 120.00
_space_group_name_H-M_alt 'P 3 1 2'
_space_group_IT_number 149
loop_
_space_group_symop_operation_xyz
'x,y,z'
'-y,x-y,z'
'-x+y,-x,z'
'-y,-x,-z'
'-x+y,y,-z'
'x,x-y,-z'
loop_
_atom_site_label
_atom_site_type_symbol
_atom_site_fract_x
_atom_site_fract_y
_atom_site_fract_z
La1 La 0.0000 0.0000 0.0000
Ti1 Ti 0.6667 0.3333 0.5000
Te1 Te 0.3333 0.6667 0.5000
O1 O 0.3744 0.0064 0.7156
```

=====

[6]
A plane-wave DFT calculation with GGA-PBEsol was carried out for a relaxed structure of La2Te6WO18.

Summary:
- Total magnetic moment: 0.0 μB/cell
- E_form (uncorrected): -1727 meV/atom
- D(E_F): 0.0 states/eV/f.u.

Cell and atoms, written as CIF:
```
data_La2Te6WO18
_cell_length_a 6.7869
_cell_length_b 6.7869
_cell_length_c 19.9842
_cell_angle_alpha 90.00
_cell_angle_beta 90.00
_cell_angle_gamma 120.00
_space_group_name_H-M_alt 'P 3 c 1'
_space_group_IT_number 158
loop_
_space_group_symop_operation_xyz
'x,y,z'
'-y,x-y,z'
'-x+y,-x,z'
'-y,-x,z+1/2'
'-x+y,y,z+1/2'
'x,x-y,z+1/2'
loop_
_atom_site_label
_atom_site_type_symbol
_atom_site_fract_x
_atom_site_fract_y
_atom_site_fract_z
La1 La 0.0000 0.0000 0.0000
La2 La 0.3333 0.6667 0.0121
Te1 Te 0.0293 0.3361 0.1725
Te2 Te 0.0331 0.3304 0.8396
W1 W 0.6667 0.3333 0.0356
O1 O 0.0000 0.0000 0.3485
O2 O 0.0489 0.2978 0.0796
O3 O 0.0866 0.4268 0.3139
O4 O 0.0966 0.3618 0.9311
O5 O 0.2443 0.0039 0.6978
O6 O 0.3333 0.6667 0.1549
O7 O 0.4219 0.0829 0.5044
O8 O 0.6667 0.3333 0.1268
```